(1)
Below is a relaxed Cs4LaSm3Te8 crystal, with properties calculated at the GGA-PBE level.

Unit cell a=9.333 b=10.438 c=9.334 alpha=116.58 beta=120.00 gamma=90.00
Element x y z (fractional)
Te (0.269, 0.308, 0.538)
Sm (0.500, 0.500, 0.000)
Te (0.274, 0.306, 0.040)
Te (0.766, 0.306, 0.531)
La (0.000, 0.500, 0.000)
Cs (0.000, 0.000, 0.500)
Te (0.766, 0.306, 0.040)
Te (0.234, 0.694, 0.960)
Cs (0.500, 0.000, 0.000)
Cs (0.500, 0.000, 0.500)
Te (0.234, 0.694, 0.469)
Sm (0.000, 0.500, 0.500)
Te (0.731, 0.692, 0.462)
Te (0.726, 0.694, 0.960)
Sm (0.500, 0.500, 0.500)
Cs (0.000, 0.000, 0.000)

Size of the total moment (μB per cell): 0.00
Symmetry: R-3m
Final energy (eV per atom): -4.406
ΔE_f (raw) (meV/atom): -1429.1

(2)
Below is a relaxed Cs3La2SmTe6 crystal, with properties calculated at the GGA-PBE level.

Unit cell a=8.181 b=8.181 c=9.342 alpha=98.39 beta=98.39 gamma=120.00
Element x y z (fractional)
Te (0.935, 0.608, 0.805)
Te (0.262, 0.262, 0.805)
Cs (0.500, 0.500, 0.500)
Te (0.608, 0.935, 0.805)
Cs (0.168, 0.832, 0.500)
Sm (0.000, 0.000, 0.000)
Te (0.392, 0.065, 0.195)
Te (0.738, 0.738, 0.195)
La (0.666, 0.334, 0.000)
Te (0.065, 0.392, 0.195)
La (0.334, 0.666, 0.000)
Cs (0.832, 0.168, 0.500)

Size of the total moment (μB per cell): 0.00
Symmetry: C2/m
Final energy (eV per atom): -4.467
ΔE_f (raw) (meV/atom): -1468.7

(3)
Below is a relaxed CsLa3Sm2Te6 crystal, with properties calculated at the GGA-PBE level.

Unit cell a=4.569 b=9.455 c=10.331 alpha=102.40 beta=102.77 gamma=90.00
Element x y z (fractional)
Cs (0.500, 0.000, 0.000)
Te (0.333, 0.419, 0.666)
Te (0.667, 0.581, 0.334)
La (0.840, 0.176, 0.680)
Te (0.322, 0.903, 0.645)
Sm (0.172, 0.348, 0.344)
Te (0.008, 0.276, 0.016)
La (0.500, 0.500, 0.000)
Sm (0.828, 0.652, 0.656)
La (0.160, 0.824, 0.320)
Te (0.678, 0.097, 0.355)
Te (0.992, 0.724, 0.984)

Size of the total moment (μB per cell): 0.00
Symmetry: C2/m
Final energy (eV per atom): -5.067
ΔE_f (raw) (meV/atom): -1406.3

(4)
Below is a relaxed Cs3LaSm2Te6 crystal, with properties calculated at the GGA-PBE level.

Unit cell a=8.102 b=8.102 c=9.335 alpha=98.32 beta=98.32 gamma=120.00
Element x y z (fractional)
Te (0.596, 0.935, 0.806)
Te (0.404, 0.065, 0.194)
Cs (0.500, 0.500, 0.500)
Cs (0.834, 0.166, 0.500)
Te (0.725, 0.725, 0.194)
Sm (0.333, 0.667, 0.000)
Te (0.065, 0.404, 0.194)
Sm (0.667, 0.333, 0.000)
La (0.000, 0.000, 0.000)
Te (0.275, 0.275, 0.806)
Te (0.935, 0.596, 0.806)
Cs (0.166, 0.834, 0.500)

Size of the total moment (μB per cell): 0.00
Symmetry: C2/m
Final energy (eV per atom): -4.419
ΔE_f (raw) (meV/atom): -1437.4